Entry from the Alexandria database: a geometry-optimized NaPr2NpSe4 structure (PBE).

Geometry as CIF:
```
data_NaPr2NpSe4
_chemical_formula_sum 'Na1 Pr2 Np1 Se4'
_cell_length_a 7.3020
_cell_length_b 4.2160
_cell_length_c 7.3296
_cell_angle_alpha 90.00
_cell_angle_beta 109.48
_cell_angle_gamma 90.00
_symmetry_space_group_name_H-M 'P 1 2/m 1'
_symmetry_Int_Tables_number 10
loop_
_symmetry_equiv_pos_as_xyz
'x,y,z'
'-x,-y,-z'
'-x,y,-z'
'x,-y,z'
loop_
_atom_site_label
_atom_site_fract_x
_atom_site_fract_y
_atom_site_fract_z
Na1 0.0000 0.0000 0.0000
Pr1 0.5000 0.0000 0.5000
Pr2 0.5000 0.5000 0.0000
Np1 0.0000 0.5000 0.5000
Se1 0.2391 0.0000 0.7443
Se2 0.2445 0.5000 0.2506
```

Results
Spin magnetization ... 4.509 μB per cell
Crystal system ... monoclinic
Raw total energy ... -6.26 eV/atom
DOS at the Fermi energy ... 13.36 states/eV per cell

Entry from the Alexandria database: a geometry-optimized Na3Pr3NpSe8 structure (PBE).

Geometry as CIF:
```
data_Na3Pr3NpSe8
_chemical_formula_sum 'Na9 Pr9 Np3 Se24'
_cell_length_a 8.5934
_cell_length_b 8.5934
_cell_length_c 21.0682
_cell_angle_alpha 90.00
_cell_angle_beta 90.00
_cell_angle_gamma 120.00
_symmetry_space_group_name_H-M 'R -3 m'
_symmetry_Int_Tables_number 166
_symmetry_space_group_name_Hall '-R 3 2"'
loop_
_atom_site_label
_atom_site_fract_x
_atom_site_fract_y
_atom_site_fract_z
Na1 0.0000 0.5000 0.0000
Pr1 0.0000 0.5000 0.5000
Np1 0.0000 0.0000 0.5000
Se1 0.0000 0.0000 0.2461
Se2 0.0148 0.5074 0.2423
```

Results
Spin magnetization ... 9.000 μB per cell
Crystal system ... trigonal
Raw total energy ... -5.48 eV/atom
DOS at the Fermi energy ... 12.60 states/eV per cell

Entry from the Alexandria database: a geometry-optimized Na3PrNp2Se6 structure (PBE).

Geometry as CIF:
```
data_Na3PrNp2Se6
_chemical_formula_sum 'Na6 Pr2 Np4 Se12'
_cell_length_a 7.3341
_cell_length_b 12.7033
_cell_length_c 7.4100
_cell_angle_alpha 90.00
_cell_angle_beta 109.28
_cell_angle_gamma 90.00
_symmetry_space_group_name_H-M 'C 1 2/m 1'
_symmetry_Int_Tables_number 12
loop_
_symmetry_equiv_pos_as_xyz
'x,y,z'
'-x,-y,-z'
'-x,y,-z'
'x,-y,z'
'x+1/2,y+1/2,z'
'-x+1/2,-y+1/2,-z'
'-x+1/2,y+1/2,-z'
'x+1/2,-y+1/2,z'
loop_
_atom_site_label
_atom_site_fract_x
_atom_site_fract_y
_atom_site_fract_z
Na1 0.0000 0.0000 0.0000
Na2 0.0000 0.3347 0.0000
Pr1 0.0000 0.5000 0.5000
Np1 0.0000 0.1667 0.5000
Se1 0.2365 0.0000 0.7345
Se2 0.2488 0.3291 0.7333
```

Results
Spin magnetization ... 16.000 μB per cell
Crystal system ... monoclinic
Raw total energy ... -5.98 eV/atom
DOS at the Fermi energy ... 42.82 states/eV per cell

Entry from the Alexandria database: a geometry-optimized Na2PrNpSe4 structure (PBE).

Geometry as CIF:
```
data_Na2PrNpSe4
_chemical_formula_sum 'Na2 Pr1 Np1 Se4'
_cell_length_a 7.3941
_cell_length_b 4.2635
_cell_length_c 7.4154
_cell_angle_alpha 90.00
_cell_angle_beta 109.51
_cell_angle_gamma 90.00
_symmetry_space_group_name_H-M 'P 1 2/m 1'
_symmetry_Int_Tables_number 10
loop_
_symmetry_equiv_pos_as_xyz
'x,y,z'
'-x,-y,-z'
'-x,y,-z'
'x,-y,z'
loop_
_atom_site_label
_atom_site_fract_x
_atom_site_fract_y
_atom_site_fract_z
Na1 0.0000 0.0000 0.0000
Na2 0.5000 0.5000 0.0000
Pr1 0.0000 0.5000 0.5000
Np1 0.5000 0.0000 0.5000
Se1 0.2512 0.0000 0.7375
Se2 0.2625 0.5000 0.2682
```

Results
Spin magnetization ... 4.000 μB per cell
Crystal system ... monoclinic
Raw total energy ... -5.72 eV/atom
DOS at the Fermi energy ... 8.04 states/eV per cell

Entry from the Alexandria database: a geometry-optimized Na3Pr2NpSe6 structure (PBE).

Geometry as CIF:
```
data_Na3Pr2NpSe6
_chemical_formula_sum 'Na6 Pr4 Np2 Se12'
_cell_length_a 7.4236
_cell_length_b 12.8530
_cell_length_c 7.4283
_cell_angle_alpha 90.00
_cell_angle_beta 109.42
_cell_angle_gamma 90.00
_symmetry_space_group_name_H-M 'C 1 2/m 1'
_symmetry_Int_Tables_number 12
loop_
_symmetry_equiv_pos_as_xyz
'x,y,z'
'-x,-y,-z'
'-x,y,-z'
'x,-y,z'
'x+1/2,y+1/2,z'
'-x+1/2,-y+1/2,-z'
'-x+1/2,y+1/2,-z'
'x+1/2,-y+1/2,z'
loop_
_atom_site_label
_atom_site_fract_x
_atom_site_fract_y
_atom_site_fract_z
Na1 0.0000 0.0000 0.0000
Na2 0.0000 0.3321 0.0000
Pr1 0.0000 0.1658 0.5000
Np1 0.0000 0.5000 0.5000
Se1 0.2422 0.3365 0.7362
Se2 0.2482 0.5000 0.2637
```

Results
Spin magnetization ... 8.001 μB per cell
Crystal system ... monoclinic
Raw total energy ... -5.45 eV/atom
DOS at the Fermi energy ... 14.35 states/eV per cell

Entry from the Alexandria database: a geometry-optimized Na3Pr2NpTe6 structure (PBE).

Geometry as CIF:
```
data_Na3Pr2NpTe6
_chemical_formula_sum 'Na6 Pr4 Np2 Te12'
_cell_length_a 7.8912
_cell_length_b 13.6718
_cell_length_c 7.9948
_cell_angle_alpha 90.00
_cell_angle_beta 109.19
_cell_angle_gamma 90.00
_symmetry_space_group_name_H-M 'C 1 2/m 1'
_symmetry_Int_Tables_number 12
loop_
_symmetry_equiv_pos_as_xyz
'x,y,z'
'-x,-y,-z'
'-x,y,-z'
'x,-y,z'
'x+1/2,y+1/2,z'
'-x+1/2,-y+1/2,-z'
'-x+1/2,y+1/2,-z'
'x+1/2,-y+1/2,z'
loop_
_atom_site_label
_atom_site_fract_x
_atom_site_fract_y
_atom_site_fract_z
Na1 0.0000 0.0000 0.0000
Na2 0.0000 0.3315 0.0000
Pr1 0.0000 0.1668 0.5000
Np1 0.0000 0.5000 0.5000
Te1 0.2438 0.3356 0.7396
Te2 0.2484 0.5000 0.2612
```

Results
Spin magnetization ... 8.001 μB per cell
Crystal system ... monoclinic
Raw total energy ... -4.93 eV/atom
DOS at the Fermi energy ... 11.15 states/eV per cell

Entry from the Alexandria database: a geometry-optimized Na3PrNp2Te6 structure (PBE).

Geometry as CIF:
```
data_Na3PrNp2Te6
_chemical_formula_sum 'Na6 Pr2 Np4 Te12'
_cell_length_a 7.8258
_cell_length_b 13.5569
_cell_length_c 7.9700
_cell_angle_alpha 90.00
_cell_angle_beta 109.11
_cell_angle_gamma 90.00
_symmetry_space_group_name_H-M 'C 1 2/m 1'
_symmetry_Int_Tables_number 12
loop_
_symmetry_equiv_pos_as_xyz
'x,y,z'
'-x,-y,-z'
'-x,y,-z'
'x,-y,z'
'x+1/2,y+1/2,z'
'-x+1/2,-y+1/2,-z'
'-x+1/2,y+1/2,-z'
'x+1/2,-y+1/2,z'
loop_
_atom_site_label
_atom_site_fract_x
_atom_site_fract_y
_atom_site_fract_z
Na1 0.0000 0.0000 0.0000
Na2 0.0000 0.3358 0.0000
Pr1 0.0000 0.5000 0.5000
Np1 0.0000 0.1670 0.5000
Te1 0.2390 0.0000 0.7370
Te2 0.2492 0.3301 0.7372
```

Results
Spin magnetization ... 16.000 μB per cell
Crystal system ... monoclinic
Raw total energy ... -5.43 eV/atom
DOS at the Fermi energy ... 38.87 states/eV per cell

Entry from the Alexandria database: a geometry-optimized NaNpPt2 structure (PBE).

Geometry as CIF:
```
data_NaNpPt2
_chemical_formula_sum 'Na1 Np1 Pt2'
_cell_length_a 3.3664
_cell_length_b 3.3664
_cell_length_c 7.4186
_cell_angle_alpha 90.00
_cell_angle_beta 90.00
_cell_angle_gamma 90.00
_symmetry_space_group_name_H-M 'P 4/m m m'
_symmetry_Int_Tables_number 123
_symmetry_space_group_name_Hall '-P 4 2'
loop_
_atom_site_label
_atom_site_fract_x
_atom_site_fract_y
_atom_site_fract_z
Na1 0.0000 0.0000 0.0000
Np1 0.0000 0.0000 0.5000
Pt1 0.5000 0.5000 0.2752
```

Results
Spin magnetization ... 3.523 μB per cell
Crystal system ... tetragonal
Raw total energy ... -6.94 eV/atom
ΔH_f (0 K) ... -0.356 eV/atom
DOS at the Fermi energy ... 9.64 states/eV per cell